## NdHo2Zn (GGA-PBE)

Data for an optimized crystal structure of NdHo2Zn.

Calculated values
Energy relative to the lowest polymorph listed for this composition (meV/atom): 110.3
Volume (Å³ per cell): 348.39
Calculated formation energy (meV/atom): -54.1

Structure (CIF):
```
data_NdHo2Zn
_chemical_formula_sum 'Nd3 Ho6 Zn3'
_symmetry_space_group_name_H-M 'R 3 m'
_symmetry_Int_Tables_number 160
_symmetry_space_group_name_Hall 'R 3 -2"'
_cell_length_a 3.6078
_cell_length_b 3.6078
_cell_length_c 30.9069
_cell_angle_alpha 90.00
_cell_angle_beta 90.00
_cell_angle_gamma 120.00
loop_
_atom_site_label
_atom_site_type_symbol
_atom_site_fract_x
_atom_site_fract_y
_atom_site_fract_z
_atom_site_occupancy
Nd1 Nd 0.0000 0.0000 0.0000 1
Ho1 Ho 0.0000 0.0000 0.5696 1
Ho2 Ho 0.0000 0.0000 0.7626 1
Zn1 Zn 0.0000 0.0000 0.1658 1
```